# 1
First-principles (PBE) data for a relaxed structure of Mg8InRh2, as listed in Alexandria.

Cell and atoms, written as CIF:
```
data_Mg8InRh2
_chemical_formula_sum 'Mg16 In2 Rh4'
_space_group_name_H-M_alt 'C 1 2/m 1'
_space_group_IT_number 12
_space_group_name_Hall '-C 2y'
_cell_length_a 8.158
_cell_length_b 11.835
_cell_length_c 4.925
_cell_angle_alpha 90.00
_cell_angle_beta 101.26
_cell_angle_gamma 90.00
loop_
_atom_site_label
_atom_site_type_symbol
_atom_site_fract_x
_atom_site_fract_y
_atom_site_fract_z
Mg1 Mg 0.000 0.244 0.000
Mg2 Mg 0.125 0.000 0.813
Mg3 Mg 0.189 0.364 0.574
In1 In 0.000 0.500 0.000
Rh1 Rh 0.000 0.174 0.500
```

## Properties
- formation enthalpy at 0 K (kcal/mol of atoms) = -5.29
- volume (A^3/atom) = 21.2
- density (Mg/m³) = 3.67
- offset from the most stable computed form (kJ/mol of atoms) = 0.0


# 2
First-principles (PBE) data for a relaxed structure of Mg2In3Rh3, as listed in Alexandria.

Cell and atoms, written as CIF:
```
data_Mg2In3Rh3
_chemical_formula_sum 'Mg4 In6 Rh6'
_space_group_name_H-M_alt 'I m m m'
_space_group_IT_number 71
_space_group_name_Hall '-I 2 2'
_cell_length_a 3.509
_cell_length_b 4.428
_cell_length_c 17.990
_cell_angle_alpha 90.00
_cell_angle_beta 90.00
_cell_angle_gamma 90.00
loop_
_atom_site_label
_atom_site_type_symbol
_atom_site_fract_x
_atom_site_fract_y
_atom_site_fract_z
Mg1 Mg 0.000 0.000 0.242
In1 In 0.000 0.000 0.000
In2 In 0.000 0.500 0.121
Rh1 Rh 0.000 0.000 0.500
Rh2 Rh 0.000 0.500 0.372
```

## Properties
- formation enthalpy at 0 K (kcal/mol of atoms) = -8.43
- volume (A^3/atom) = 17.5
- density (Mg/m³) = 8.34


# 3
First-principles (PBE) data for a relaxed structure of Mg3In2Rh, as listed in Alexandria.

Cell and atoms, written as CIF:
```
data_Mg3In2Rh
_chemical_formula_sum 'Mg6 In4 Rh2'
_space_group_name_H-M_alt 'P 1 2/m 1'
_space_group_IT_number 10
_space_group_name_Hall '-P 2y'
_cell_length_a 4.366
_cell_length_b 8.286
_cell_length_c 7.003
_cell_angle_alpha 90.00
_cell_angle_beta 107.35
_cell_angle_gamma 90.00
loop_
_atom_site_label
_atom_site_type_symbol
_atom_site_fract_x
_atom_site_fract_y
_atom_site_fract_z
Mg1 Mg 0.000 0.238 0.000
Mg2 Mg 0.321 0.200 0.644
In1 In 0.170 0.500 0.338
In2 In 0.500 0.000 0.000
In3 In 0.500 0.500 0.000
Rh1 Rh 0.153 0.000 0.303
```

## Properties
- formation enthalpy at 0 K (kcal/mol of atoms) = -5.70
- volume (A^3/atom) = 20.1
- density (Mg/m³) = 5.57